(1)
A plane-wave DFT calculation with GGA-PBE was carried out for crystalline Ca2PWN5 at its relaxed geometry.

a = 3.055 Å, b = 13.747 Å, c = 10.978 Å
α = 90.00°, β = 90.00°, γ = 90.00°
Space group Cmc2_1 (No. 36)
Unique sites:
Ca 0.000 0.079 0.000 x4
Ca 0.000 0.136 0.677 x4
P 0.000 0.435 0.763 x4
W 0.000 0.219 0.395 x4
N 0.000 0.049 0.347 x4
N 0.000 0.292 0.010 x4
N 0.000 0.314 0.761 x4
N 0.000 0.346 0.355 x4
N 0.000 0.494 0.639 x4

Values from the calculation:
D(E_F) = 0.0 states/eV/f.u.
DFT total energy = -7.879 eV/atom

(2)
A plane-wave DFT calculation with GGA-PBE was carried out for crystalline Ca2ZnPN4 at its relaxed geometry.

a = 6.554 Å, b = 5.700 Å, c = 5.614 Å
α = 90.00°, β = 90.00°, γ = 90.00°
Space group Pmn2_1 (No. 31)
Unique sites:
Ca 0.248 0.228 0.000 x4
Zn 0.000 0.778 0.999 x2
P 0.000 0.200 0.499 x2
N 0.000 0.031 0.263 x2
N 0.000 0.032 0.736 x2
N 0.211 0.364 0.499 x4

Values from the calculation:
D(E_F) = 3.2 states/eV/f.u.
DFT total energy = -6.122 eV/atom

(3)
A plane-wave DFT calculation with GGA-PBE was carried out for crystalline CaZnPN3 at its relaxed geometry.

a = 5.377 Å, b = 9.994 Å, c = 5.045 Å
α = 90.00°, β = 90.00°, γ = 90.00°
Space group Cmcm (No. 63)
Unique sites:
Ca 0.000 0.240 0.250 x4
Zn 0.000 0.420 0.750 x4
P 0.000 0.057 0.750 x4
N 0.000 0.221 0.750 x4
N 0.214 0.000 0.000 x8

Values from the calculation:
D(E_F) = 0.1 states/eV/f.u.
DFT total energy = -6.007 eV/atom

(4)
A plane-wave DFT calculation with GGA-PBE was carried out for crystalline Ca2ZnPN at its relaxed geometry.

a = 4.855 Å, b = 4.855 Å, c = 3.903 Å
α = 90.00°, β = 90.00°, γ = 90.00°
Space group P4/mmm (No. 123)
Unique sites:
Ca 0.000 0.500 0.000 x2
Zn 0.000 0.000 0.500 x1
P 0.500 0.500 0.500 x1
N 0.000 0.000 0.000 x1

Values from the calculation:
D(E_F) = 0.8 states/eV/f.u.
Energy relative to the lowest polymorph listed for this composition = 12.1 kJ/mol of atoms
DFT total energy = -4.554 eV/atom

(5)
A plane-wave DFT calculation with GGA-PBE was carried out for crystalline Ca2ZnPN at its relaxed geometry.

a = 6.645 Å, b = 3.786 Å, c = 7.951 Å
α = 90.00°, β = 107.30°, γ = 90.00°
Space group P2_1/m (No. 11)
Unique sites:
Ca 0.172 0.250 0.376 x2
Ca 0.193 0.250 0.965 x2
Zn 0.474 0.750 0.255 x2
P 0.306 0.750 0.696 x2
N 0.169 0.750 0.173 x2

Values from the calculation:
Energy relative to the lowest polymorph listed for this composition = 0.0 kJ/mol of atoms
DFT total energy = -4.680 eV/atom

(6)
A plane-wave DFT calculation with GGA-PBE was carried out for crystalline Ca3ZnP2N at its relaxed geometry.

a = 3.809 Å, b = 4.780 Å, c = 15.615 Å
α = 90.00°, β = 90.00°, γ = 90.00°
Space group Immm (No. 71)
Unique sites:
Ca 0.000 0.000 0.000 x2
Ca 0.000 0.500 0.166 x4
Zn 0.000 0.000 0.500 x2
P 0.000 0.500 0.353 x4
N 0.000 0.500 0.000 x2

Values from the calculation:
D(E_F) = 3.3 states/eV/f.u.
DFT total energy = -4.558 eV/atom

(7)
A plane-wave DFT calculation with GGA-PBE was carried out for crystalline CaPaN3 at its relaxed geometry.

a = 10.968 Å, b = 10.968 Å, c = 10.968 Å
α = 90.00°, β = 90.00°, γ = 90.00°
Space group Fd-3m (No. 227, origin choice 2)
Unique sites:
Ca 0.000 0.000 0.000 x16
Pa 0.000 0.000 0.500 x16
N 0.097 0.375 0.875 x48

Values from the calculation:
D(E_F) = 3.9 states/eV/f.u.
DFT total energy = -7.976 eV/atom

(8)
A plane-wave DFT calculation with GGA-PBE was carried out for crystalline Ca2PaN3 at its relaxed geometry.

a = 3.572 Å, b = 4.872 Å, c = 10.629 Å
α = 90.00°, β = 90.00°, γ = 90.00°
Space group Immm (No. 71)
Unique sites:
Ca 0.000 0.000 0.166 x4
Pa 0.000 0.000 0.500 x2
N 0.000 0.500 0.139 x4
N 0.000 0.500 0.500 x2

Values from the calculation:
DFT total energy = -7.853 eV/atom

Look up the DFT total energy of the sixth one. -4.558 eV/atom